Computed, not measured: crystalline SiNi2Pt2 at its relaxed geometry at the PBE level of DFT.

Cell and atoms, written as CIF:
```
data_SiNi2Pt2
_chemical_formula_sum 'Si2 Ni4 Pt4'
_space_group_name_H-M_alt 'I 4/m m m'
_space_group_IT_number 139
_space_group_name_Hall '-I 4 2'
_cell_length_a 3.6551
_cell_length_b 3.6551
_cell_length_c 11.6801
_cell_angle_alpha 90.00
_cell_angle_beta 90.00
_cell_angle_gamma 90.00
loop_
_atom_site_label
_atom_site_fract_x
_atom_site_fract_y
_atom_site_fract_z
_atom_site_occupancy
Si1 0.0000 0.0000 0.0000 1
Ni1 0.0000 0.0000 0.4040 1
Pt1 0.0000 0.5000 0.2500 1
```

Results
Crystal system: tetragonal
Density, g cm⁻³: 11.40
DOS at the Fermi energy, states/eV per cell: 15.2
ΔE to the lowest computed polymorph, eV/f.u.: 2.68
Raw formation energy, eV per atom: 0.37
Total magnetic moment, μB per cell: 3.31

---

Computed, not measured: crystalline Si2NiPt at its relaxed geometry at the PBE level of DFT.

Cell and atoms, written as CIF:
```
data_Si2NiPt
_chemical_formula_sum 'Si4 Ni2 Pt2'
_space_group_name_H-M_alt 'C 1 m 1'
_space_group_IT_number 8
_space_group_name_Hall 'C -2y'
_cell_length_a 7.9934
_cell_length_b 3.3235
_cell_length_c 4.2064
_cell_angle_alpha 90.00
_cell_angle_beta 104.37
_cell_angle_gamma 90.00
loop_
_atom_site_label
_atom_site_fract_x
_atom_site_fract_y
_atom_site_fract_z
_atom_site_occupancy
Si1 0.0000 0.0000 0.0000 1
Si2 0.2363 0.0000 0.6558 1
Ni1 0.2244 0.5000 0.0749 1
Pt1 0.4994 0.0000 0.4585 1
```

Results
Crystal system: monoclinic
Density, g cm⁻³: 9.51
DOS at the Fermi energy, states/eV per cell: 4.0
Raw formation energy, eV per atom: -0.38
Total magnetic moment, μB per cell: 0.00

---

Which value of DOS at the Fermi energy does entry 1 give? 15.2 states/eV per cell

---

What is the formula in the second record? Si2NiPt